A plane-wave DFT calculation with GGA-PBE was carried out for a geometry-optimized ZrNi2W structure.

Output
Energy above the most stable polymorph in this dataset, meV/atom: 318.4
Magnetic moment, μB/cell: 0.00
DOS at the Fermi energy, states/eV/cell: 20.8
Theoretical density, g/cm3: 10.7
Energy of formation, eV per formula unit: 1.01

Cell: 2.8178 2.8178 26.5298 Å, 90.00 90.00 120.00°
With the nearest neighbours (Å) after each atom.
Space group R-3m (No. 166, hexagonal axes)
One atom of each set of equivalent atoms:
Zr1 0.0000 0.0000 0.0000  6 Zr 2.82, 6 Ni 2.87
Ni1 0.0000 0.0000 0.2444  3 W 2.63, 6 Ni 2.82, 3 Zr 2.87
W1 0.0000 0.0000 0.5000  6 Ni 2.63, 6 W 2.82

A plane-wave DFT calculation with GGA-PBE was carried out for a geometry-optimized ZrNiW structure.

Output
Energy above the most stable polymorph in this dataset, meV/atom: 0.0
Magnetic moment, μB/cell: 0.00
DOS at the Fermi energy, states/eV/cell: 15.5
Theoretical density, g/cm3: 10.9
Energy of formation, eV per formula unit: -0.17

Cell: 3.7217 3.7217 14.7031 Å, 90.00 90.00 90.00°
With the nearest neighbours (Å) after each atom.
Space group I4/mmm (No. 139)
One atom of each set of equivalent atoms:
Zr1 0.0000 0.0000 0.1767  5 Ni 2.70-2.77
Ni1 0.0000 0.0000 0.3652  5 Zr 2.70-2.77, 4 W 2.72
W1 0.0000 0.5000 0.0000  4 W 2.63, 4 Ni 2.72

A plane-wave DFT calculation with GGA-PBE was carried out for a geometry-optimized ZrNi3W structure.

Output
Energy above the most stable polymorph in this dataset, meV/atom: 0.0
Magnetic moment, μB/cell: 0.00
DOS at the Fermi energy, states/eV/cell: 6.1
Theoretical density, g/cm3: 8.4
Energy of formation, eV per formula unit: 4.44

Cell: 4.4686 4.4686 4.4686 Å, 90.00 90.00 90.00°
With the nearest neighbours (Å) after each atom.
Space group Pm-3m (No. 221)
One atom of each set of equivalent atoms:
Zr1 0.0000 0.0000 0.0000  12 Ni 3.16
Ni1 0.0000 0.5000 0.5000  2 W 2.23
W1 0.5000 0.5000 0.5000  6 Ni 2.23

A plane-wave DFT calculation with GGA-PBE was carried out for a geometry-optimized ZrNi2W structure.

Output
Energy above the most stable polymorph in this dataset, meV/atom: 66.1
Magnetic moment, μB/cell: 0.00
DOS at the Fermi energy, states/eV/cell: 8.3
Theoretical density, g/cm3: 11.1
Energy of formation, eV per formula unit: 0.00

Cell: 9.6392 2.7414 4.6734 Å, 90.00 107.24 90.00°
With the nearest neighbours (Å) after each atom.
Space group Cm (No. 8)
One atom of each set of equivalent atoms:
Zr1 0.0000 0.0000 0.0000  7 Ni 2.64-2.76, 2 Zr 2.74
Ni1 0.2606 0.5000 0.1654  4 Ni 2.52-2.74, 3 Zr 2.64-2.76, 4 W 2.69-2.78
Ni2 0.4685 0.0000 0.4863  4 Ni 2.52-2.74, 3 W 2.68-2.69, 4 Zr 2.70-2.75
W1 0.2194 0.0000 0.6288  7 Ni 2.68-2.78, 2 W 2.74

A plane-wave DFT calculation with GGA-PBE was carried out for a geometry-optimized ZrNi4W structure.

Output
Magnetic moment, μB/cell: 8.11
DOS at the Fermi energy, states/eV/cell: 29.5
Theoretical density, g/cm3: 10.6
Energy of formation, eV per formula unit: -0.81

Cell: 6.8295 6.8295 6.8295 Å, 90.00 90.00 90.00°
With the nearest neighbours (Å) after each atom.
Space group F-43m (No. 216)
One atom of each set of equivalent atoms:
Zr1 0.0000 0.0000 0.0000  12 Ni 2.83, 4 W 2.96
Ni1 0.1242 0.1242 0.6242  6 Ni 2.40-2.43
W1 0.2500 0.2500 0.2500  12 Ni 2.83, 4 Zr 2.96

A plane-wave DFT calculation with GGA-PBE was carried out for a geometry-optimized ZrNi2W structure.

Output
Energy above the most stable polymorph in this dataset, meV/atom: 211.0
Magnetic moment, μB/cell: 0.00
DOS at the Fermi energy, states/eV/cell: 8.7
Theoretical density, g/cm3: 10.3
Energy of formation, eV per formula unit: 0.58

Cell: 8.3122 2.7153 5.6554 Å, 90.00 98.54 90.00°
With the nearest neighbours (Å) after each atom.
Space group C2/m (No. 12)
One atom of each set of equivalent atoms:
Zr1 0.0000 0.0000 0.0000  2 Zr 2.72, 6 Ni 2.86-2.91
Ni1 0.2499 0.0000 0.6891  3 W 2.48-2.58, 4 Ni 2.53-2.72
W1 0.0000 0.5000 0.5000  6 Ni 2.48-2.58, 2 W 2.72

A plane-wave DFT calculation with GGA-PBE was carried out for a geometry-optimized ZrNi3W structure.

Output
Energy above the most stable polymorph in this dataset, meV/atom: 696.1
Magnetic moment, μB/cell: 0.53
DOS at the Fermi energy, states/eV/cell: 4.8
Theoretical density, g/cm3: 8.7
Energy of formation, eV per formula unit: 7.92

Cell: 4.4178 4.4178 4.4178 Å, 90.00 90.00 90.00°
With the nearest neighbours (Å) after each atom.
Space group Pm-3m (No. 221)
One atom of each set of equivalent atoms:
Zr1 0.0000 0.0000 0.0000  6 Ni 2.21
Ni1 0.0000 0.0000 0.5000  2 Zr 2.21
W1 0.5000 0.5000 0.5000  12 Ni 3.12

A plane-wave DFT calculation with GGA-PBE was carried out for a geometry-optimized ZrNi2W structure.

Output
Energy above the most stable polymorph in this dataset, meV/atom: 169.2
Magnetic moment, μB/cell: 0.00
DOS at the Fermi energy, states/eV/cell: 10.7
Theoretical density, g/cm3: 10.9
Energy of formation, eV per formula unit: 0.41

Cell: 3.7503 3.7503 8.4995 Å, 90.00 90.00 90.00°
With the nearest neighbours (Å) after each atom.
Space group I-4m2 (No. 119)
One atom of each set of equivalent atoms:
Zr1 0.0000 0.0000 0.0000  8 Ni 2.65-2.83, 4 W 2.83
Ni1 0.0000 0.0000 0.5000  4 Zr 2.65, 4 W 2.83, 4 Ni 2.83
Ni2 0.0000 0.5000 0.7500  4 W 2.65, 4 Zr 2.83, 4 Ni 2.83
W1 0.0000 0.5000 0.2500  8 Ni 2.65-2.83, 4 Zr 2.83

A plane-wave DFT calculation with GGA-PBE was carried out for a geometry-optimized ZrNi2W structure.

Output
Energy above the most stable polymorph in this dataset, meV/atom: 12.9
Magnetic moment, μB/cell: 0.00
DOS at the Fermi energy, states/eV/cell: 4.0
Theoretical density, g/cm3: 11.0
Energy of formation, eV per formula unit: -0.21

Cell: 2.7400 3.7936 5.6906 Å, 90.00 90.61 90.00°
With the nearest neighbours (Å) after each atom.
Space group P2/m (No. 10)
One atom of each set of equivalent atoms:
Zr1 0.0000 0.0000 0.0000  2 Zr 2.74, 8 Ni 2.81-2.83, 2 W 2.85
Ni1 0.5002 0.5000 0.2772  3 Ni 2.54-2.74, 4 W 2.65-2.67, 4 Zr 2.81-2.83
W1 0.0000 0.0000 0.5000  8 Ni 2.65-2.67, 2 W 2.74, 2 Zr 2.85

A plane-wave DFT calculation with GGA-PBE was carried out for a geometry-optimized ZrNiW3 structure.

Output
Energy above the most stable polymorph in this dataset, meV/atom: 0.0
Magnetic moment, μB/cell: 0.00
DOS at the Fermi energy, states/eV/cell: 8.8
Theoretical density, g/cm3: 12.5
Energy of formation, eV per formula unit: 6.09

Cell: 4.5384 4.5384 4.5384 Å, 90.00 90.00 90.00°
With the nearest neighbours (Å) after each atom.
Space group Pm-3m (No. 221)
One atom of each set of equivalent atoms:
Zr1 0.0000 0.0000 0.0000  12 W 3.21
Ni1 0.5000 0.5000 0.5000  6 W 2.27
W1 0.0000 0.5000 0.5000  2 Ni 2.27

A plane-wave DFT calculation with GGA-PBE was carried out for a geometry-optimized ZrNi2W structure.

Output
Energy above the most stable polymorph in this dataset, meV/atom: 324.6
Magnetic moment, μB/cell: 3.57
DOS at the Fermi energy, states/eV/cell: 25.2
Theoretical density, g/cm3: 10.9
Energy of formation, eV per formula unit: 1.03

Cell: 6.2084 6.2084 6.2084 Å, 90.00 90.00 90.00°
With the nearest neighbours (Å) after each atom.
Space group F-43m (No. 216)
One atom of each set of equivalent atoms:
Zr1 0.0000 0.0000 0.0000  4 W 2.69, 4 Ni 2.69
Ni1 0.0000 0.0000 0.5000  4 W 2.69, 4 Ni 2.69
Ni2 0.2500 0.2500 0.7500  4 Zr 2.69, 4 Ni 2.69
W1 0.2500 0.2500 0.2500  4 Zr 2.69, 4 Ni 2.69

A plane-wave DFT calculation with GGA-PBE was carried out for a geometry-optimized ZrNiW3 structure.

Output
Energy above the most stable polymorph in this dataset, meV/atom: 1599.6
Magnetic moment, μB/cell: 0.48
DOS at the Fermi energy, states/eV/cell: 8.0
Theoretical density, g/cm3: 10.8
Energy of formation, eV per formula unit: 14.09

Cell: 4.7662 4.7662 4.7662 Å, 90.00 90.00 90.00°
With the nearest neighbours (Å) after each atom.
Space group Pm-3m (No. 221)
One atom of each set of equivalent atoms:
Zr1 0.0000 0.0000 0.0000  6 W 2.38
Ni1 0.5000 0.5000 0.5000  12 W 3.37
W1 0.0000 0.0000 0.5000  2 Zr 2.38